(1)
Computed, not measured: crystalline CrTe2As at its relaxed geometry at the GGA-PBE level of DFT.

Lattice parameters (Å, degrees): 5.0617 5.0617 5.0617 109.78 109.78 108.85
Positions (direct):
Cr 0.0000 0.0000 0.0000
Te 0.0000 0.5000 0.5000
Te 0.5000 0.0000 0.5000
As 0.5000 0.5000 0.0000

magnetization	4.002	μB per formula unit
formation energy without anion corrections	134	meV per atom
E_tot	-5.00	eV per atom
space group	I4/mmm, No. 139

---

(2)
Computed, not measured: crystalline YSbSe at its relaxed geometry at the GGA-PBE level of DFT.

Lattice parameters (Å, degrees): 7.1837 7.1837 7.1837 90.00 90.00 90.00
Positions (direct):
Y 0.0195 0.0195 0.0195
Y 0.4805 0.9805 0.5195
Y 0.5195 0.4805 0.9805
Y 0.9805 0.5195 0.4805
Sb 0.1138 0.6138 0.8862
Sb 0.3862 0.3862 0.3862
Sb 0.6138 0.8862 0.1138
Sb 0.8862 0.1138 0.6138
Se 0.1024 0.8976 0.3976
Se 0.3976 0.1024 0.8976
Se 0.6024 0.6024 0.6024
Se 0.8976 0.3976 0.1024

magnetization	0.000	μB per formula unit
formation energy without anion corrections	-936	meV per atom
E_tot	-5.63	eV per atom
space group	P2_13, No. 198

---

(3)
Computed, not measured: crystalline FeRe2Ir at its relaxed geometry at the GGA-PBE level of DFT.

Lattice parameters (Å, degrees): 4.7070 4.7070 4.6663 99.44 99.44 33.63
Positions (direct):
Fe 0.0000 0.0000 0.0000
Re 0.2486 0.2486 0.7529
Re 0.7514 0.7514 0.2471
Ir 0.5000 0.5000 0.5000

energy of formation from the pure elements	0.018	eV per atom
magnetization	1.991	μB per formula unit
E_tot	-10.54	eV per atom
space group	C2/m, No. 12
excess energy over the best structure of this formula in the dataset	69	meV/atom

---

(4)
Computed, not measured: crystalline IrPt2 at its relaxed geometry at the GGA-PBE level of DFT.

Lattice parameters (Å, degrees): 5.6130 3.9364 8.3074 90.00 90.00 90.00
Positions (direct):
Ir 0.1229 0.2500 0.0780
Ir 0.3771 0.7500 0.5780
Ir 0.6229 0.2500 0.4220
Ir 0.8771 0.7500 0.9220
Pt 0.1201 0.2500 0.7495
Pt 0.1290 0.2500 0.4157
Pt 0.3710 0.7500 0.9157
Pt 0.3799 0.7500 0.2495
Pt 0.6201 0.2500 0.7505
Pt 0.6290 0.2500 0.0843
Pt 0.8710 0.7500 0.5843
Pt 0.8799 0.7500 0.2505

energy of formation from the pure elements	0.075	eV per atom
magnetization	0.000	μB per formula unit
E_tot	-6.91	eV per atom
space group	Pnma, No. 62
excess energy over the best structure of this formula in the dataset	35	meV/atom